(1)
DFT (PBE) results for an optimized crystal structure of Mn2FeAu.

a = 4.308 Å, b = 4.308 Å, c = 4.308 Å
α = 60.00°, β = 60.00°, γ = 60.00°
Last column: magnetic moment on the atom in μB.
Atoms (fractional coordinates):
Mn  0.250  0.250  0.250  3.36
Mn  0.750  0.750  0.750  3.36
Au  0.500  0.500  0.500  0.17
Fe  0.000  0.000  0.000  1.92

Summary:
Electronic total energy in eV per atom: -7.3044
Formation energy from the elements in eV per atom: 0.2154
Energy relative to the lowest polymorph listed for this composition in eV/atom: 0.075
Total magnetization in μB per formula unit: 9.00

(2)
DFT (PBE) results for an optimized crystal structure of Pr2Ga3Ge4.

a = 6.159 Å, b = 8.221 Å, c = 8.150 Å
α = 90.00°, β = 112.20°, γ = 90.00°
Atoms (fractional coordinates):
Ga  0.500  0.500  0.000
Ga  0.535  0.750  0.571
Ga  0.000  0.000  0.000
Ga  0.035  0.750  0.571
Ga  0.465  0.250  0.429
Ga  0.965  0.250  0.429
Ge  0.204  0.750  0.909
Ge  0.704  0.750  0.909
Ge  0.796  0.250  0.091
Ge  0.186  0.945  0.373
Ge  0.296  0.250  0.091
Ge  0.686  0.555  0.373
Ge  0.314  0.445  0.627
Ge  0.814  0.055  0.627
Pr  0.617  0.919  0.234
Pr  0.117  0.581  0.234
Pr  0.883  0.419  0.766
Pr  0.383  0.081  0.766

Summary:
Electronic total energy in eV per atom: -4.5460
Formation energy from the elements in eV per atom: -0.4228
Total magnetization in μB per formula unit: 0.00

(3)
DFT (PBE) results for an optimized crystal structure of Pm8SmPb6.

a = 9.409 Å, b = 9.409 Å, c = 8.602 Å
α = 56.85°, β = 56.85°, γ = 60.00°
Atoms (fractional coordinates):
Pb  0.402  0.069  0.793
Pb  0.264  0.598  0.207
Pb  0.069  0.736  0.793
Pb  0.736  0.402  0.793
Pb  0.598  0.931  0.207
Pb  0.931  0.264  0.207
Pm  0.667  0.667  0.000
Pm  0.769  0.103  0.691
Pm  0.103  0.437  0.691
Pm  0.333  0.333  0.000
Pm  0.897  0.563  0.309
Pm  0.231  0.897  0.309
Pm  0.563  0.231  0.309
Pm  0.437  0.769  0.691
Sm  0.000  0.000  0.000

Summary:
Electronic total energy in eV per atom: -4.7280
Formation energy from the elements in eV per atom: -0.3964
Total magnetization in μB per formula unit: 0.00

(4)
DFT (PBE) results for an optimized crystal structure of Li14HgPt.

a = 6.240 Å, b = 6.240 Å, c = 7.260 Å
α = 90.00°, β = 90.00°, γ = 90.00°
Atoms (fractional coordinates):
Li  0.138  0.612  0.723
Li  0.612  0.138  0.723
Li  0.612  0.612  0.723
Li  0.138  0.612  0.277
Li  0.612  0.612  0.277
Li  0.375  0.875  0.500
Li  0.875  0.875  0.000
Li  0.138  0.138  0.723
Li  0.612  0.138  0.277
Li  0.875  0.375  0.500
Li  0.375  0.375  0.000
Li  0.375  0.875  0.000
Li  0.138  0.138  0.277
Li  0.875  0.375  0.000
Hg  0.875  0.875  0.500
Pt  0.375  0.375  0.500

Summary:
Electronic total energy in eV per atom: -2.2386
Formation energy from the elements in eV per atom: -0.1676
Total magnetization in μB per formula unit: 0.00